# CaMnRu2

CaMnRu2 after structural relaxation (PBE, Alexandria).

Cell: 5.311 5.311 2.782 Å, 77.59 77.60 115.60°
Element x y z (fractional)
Ru 0.000 0.000 0.000
Ru 0.500 0.500 0.000
Ca 0.500 0.000 0.500
Mn 0.000 0.500 0.500

Properties
E: -27.7 eV/cell
ΔE_f: 498 meV per atom
space group: C2/m
crystal system: monoclinic

# Ca3MnRu

Ca3MnRu after structural relaxation (PBE, Alexandria).

Cell: 5.327 5.327 5.327 Å, 90.00 90.00 90.00°
Element x y z (fractional)
Ru 0.000 0.000 0.000
Ca 0.000 0.500 0.000
Ca 0.000 0.000 0.500
Ca 0.500 0.000 0.000
Mn 0.500 0.500 0.500

Properties
E: -19.3 eV/cell
ΔE_f: 1034 meV per atom
space group: Pm-3m
crystal system: cubic